(1)
The following is a DFT calculation (PBE-GGA) of crystalline ZrTlHg2 at its relaxed geometry.

For the spin magnetization, the calculation gives 0.000 μB/cell. Its density of states at the Fermi level is 2.68 states/eV/cell. As for the energy relative to the elements: 0.036 eV/atom.

Cell: 3.2695 4.5023 6.4494 Å, 90.00 90.29 90.00°
Last column: nearest neighbours and their distance in Å.
Space group P2/m (No. 10)
Inequivalent atoms, fractional coordinates:
Zr 0.0000 0.0000 0.0000  8 Hg 3.15-3.16, 2 Tl 3.22, 2 Zr 3.27
Tl 0.0000 0.0000 0.5000  2 Zr 3.22, 2 Tl 3.27, 8 Hg 3.28
Hg 0.4983 0.5000 0.2310  3 Hg 2.98-3.27, 4 Zr 3.15-3.16, 4 Tl 3.28


(2)
The following is a DFT calculation (PBE-GGA) of crystalline LaHgAs2 at its relaxed geometry.

For the spin magnetization, the calculation gives 0.000 μB/cell. Its density of states at the Fermi level is 3.60 states/eV/cell. As for the energy relative to the elements: -0.638 eV/atom.

Cell: 6.7272 6.7759 4.1292 Å, 90.00 90.00 90.00°
Last column: nearest neighbours and their distance in Å.
Space group Cmmm (No. 65)
Inequivalent atoms, fractional coordinates:
La 0.0000 0.0000 0.0000  8 As 3.16, 4 Hg 3.36-3.39
Hg 0.0000 0.5000 0.0000  8 As 3.16, 4 La 3.36-3.39
As 0.2500 0.2500 0.5000  4 Hg 3.16, 4 La 3.16, 4 As 3.36-3.39


(3)
The following is a DFT calculation (PBE-GGA) of crystalline FeCu2Bi at its relaxed geometry.

For the spin magnetization, the calculation gives 0.000 μB/cell. Its density of states at the Fermi level is 13.59 states/eV/cell. As for the energy relative to the elements: 0.678 eV/atom.

Cell: 3.7189 3.7189 18.9236 Å, 90.00 90.00 90.00°
Last column: nearest neighbours and their distance in Å.
Space group I-42d (No. 122)
Inequivalent atoms, fractional coordinates:
Fe 0.0000 0.0000 0.0000  4 Bi 2.63, 4 Cu 2.67
Cu 0.2169 0.2500 0.1250  2 Cu 2.46, 2 Fe 2.67, 2 Bi 2.75
Bi 0.0000 0.0000 0.5000  4 Fe 2.63, 4 Cu 2.75